Compound: Tb5NdSmDy2
Source: Alexandria
Functional: PBE
Structure: relaxed

The formation energy comes out at 2.6 eV per formula unit.

The space group is I4/mcm (No. 140) and the conventional cell measures 8.955, 8.955 and 14.823 Å, with angles of 90.00, 90.00 and 90.00 degrees. The distinct sites, in fractional coordinates, are Tb at (0.000, 0.000, 0.000), Tb at (0.204, 0.296, 0.132), Nd at (0.000, 0.000, 0.250), Sm at (0.000, 0.500, 0.250) and Dy at (0.113, 0.387, 0.500).


Compound: TbNd2Sm2Dy2
Source: Alexandria
Functional: PBE
Structure: relaxed

The formation energy comes out at 0.1 eV per formula unit.

The space group is C2/m (No. 12) and the conventional cell measures 11.415, 5.104 and 8.073 Å, with angles of 90.00, 98.15 and 90.00 degrees. The distinct sites, in fractional coordinates, are Tb at (0.000, 0.000, 0.000), Nd at (0.143, 0.000, 0.427), Sm at (0.071, 0.500, 0.718) and Dy at (0.215, 0.500, 0.140).


Compound: Tb3Nd6Sm2Dy
Source: Alexandria
Functional: PBE
Structure: relaxed

The formation energy comes out at 0.1 eV per formula unit.

The space group is C2/m (No. 12) and the conventional cell measures 6.301, 10.915 and 11.973 Å, with angles of 90.00, 100.09 and 90.00 degrees. The distinct sites, in fractional coordinates, are Tb at (0.000, 0.000, 0.000), Tb at (0.000, 0.333, 0.000), Nd at (0.249, 0.500, 0.249), Nd at (0.250, 0.166, 0.249), Sm at (0.000, 0.167, 0.500) and Dy at (0.000, 0.500, 0.500).


Compound: Tb2NdSmDy5
Source: Alexandria
Functional: PBE
Structure: relaxed

The formation energy comes out at 2.5 eV per formula unit.

The space group is I4/mcm (No. 140) and the conventional cell measures 8.844, 8.844 and 15.046 Å, with angles of 90.00, 90.00 and 90.00 degrees. The distinct sites, in fractional coordinates, are Tb at (0.115, 0.385, 0.000), Nd at (0.000, 0.000, 0.250), Sm at (0.000, 0.500, 0.250), Dy at (0.000, 0.000, 0.000) and Dy at (0.205, 0.295, 0.366).


Compound: TbNdSm2Dy
Source: Alexandria
Functional: PBE
Structure: relaxed

The formation energy comes out at 1.4 eV per formula unit.

The space group is P2/c (No. 13) and the conventional cell measures 8.289, 6.673 and 6.203 Å, with angles of 90.00, 90.59 and 90.00 degrees. The distinct sites, in fractional coordinates, are Tb at (0.000, 0.074, 0.250), Nd at (0.000, 0.500, 0.000), Sm at (0.307, 0.191, 0.747) and Dy at (0.500, 0.340, 0.250).


Compound: TbNdSmDy3
Source: Alexandria
Functional: PBE
Structure: relaxed

The formation energy comes out at 0.7 eV per formula unit.

The space group is Cmcm (No. 63) and the conventional cell measures 5.939, 11.097 and 11.893 Å, with angles of 90.00, 90.00 and 90.00 degrees. The distinct sites, in fractional coordinates, are Tb at (0.000, 0.172, 0.250), Nd at (0.000, 0.000, 0.000), Sm at (0.000, 0.498, 0.250), Dy at (0.000, 0.171, 0.750) and Dy at (0.000, 0.329, 0.501).


Compound: Tb4Nd2Sm2Dy
Source: Alexandria
Functional: PBE
Structure: relaxed

The formation energy comes out at 0.0 eV per formula unit.

The space group is C2/m (No. 12) and the conventional cell measures 18.850, 3.632 and 9.659 Å, with angles of 90.00, 115.70 and 90.00 degrees. The distinct sites, in fractional coordinates, are Tb at (0.019, 0.000, 0.332), Tb at (0.185, 0.500, 0.335), Nd at (0.165, 0.000, 0.000), Sm at (0.147, 0.500, 0.664) and Dy at (0.000, 0.500, 0.000).


Compound: Tb4Nd2SmDy
Source: Alexandria
Functional: PBE
Structure: relaxed

The formation energy comes out at 0.1 eV per formula unit.

The space group is P2/m (No. 10) and the conventional cell measures 5.082, 5.097 and 10.150 Å, with angles of 90.00, 90.06 and 90.00 degrees. The distinct sites, in fractional coordinates, are Tb at (0.000, 0.000, 0.249), Tb at (0.500, 0.500, 0.249), Nd at (0.000, 0.500, 0.000), Nd at (0.500, 0.000, 0.500), Sm at (0.000, 0.500, 0.500) and Dy at (0.500, 0.000, 0.000).